(1)
Material: Co2MoPd2
Method: DFT, PBE
State: optimized geometry

abc: 7.278 7.278 2.661
angles: 90.00 90.00 90.00
Fractional coordinates of all 10 atoms:
Co: 0.169 0.331 0.000
Co: 0.331 0.831 0.000
Co: 0.669 0.169 0.000
Co: 0.831 0.669 0.000
Mo: 0.000 0.000 0.500
Mo: 0.500 0.500 0.500
Pd: 0.130 0.630 0.500
Pd: 0.370 0.130 0.500
Pd: 0.630 0.870 0.500
Pd: 0.870 0.370 0.500

## Properties
DOS(E_F) = 1.34 states/eV/atom
energy of formation from the pure elements = 324 meV/atom

***

(2)
Material: YRu2Pt
Method: DFT, PBE
State: optimized geometry

abc: 3.006 3.006 7.694
angles: 90.00 90.00 90.00
Fractional coordinates of all 4 atoms:
Y: 0.000 0.000 0.000
Ru: 0.500 0.500 0.283
Ru: 0.500 0.500 0.717
Pt: 0.000 0.000 0.500

## Properties
DOS(E_F) = 1.06 states/eV/atom
energy of formation from the pure elements = 146 meV/atom